1.
A plane-wave DFT calculation with PBE was carried out for a geometry-optimized Pm8NdSc4 structure.

## Properties
**Energy relative to the elements**: 0.23 eV/atom
**Calculated volume**: 31.62 Å³/atom
**DFT total energy**: -5.008 eV/atom

The structure in POSCAR format:
```
Pm8NdSc4
1.0
-1.523 4.645 -5.186
-3.636 -6.110 0.491
-4.019 3.103 8.857
Pm Sc Nd
8 4 1
Cartesian
-5.119 5.418 1.459
-4.025 2.683 3.585
-5.153 -1.044 0.577
-2.086 -0.464 2.437
-4.059 -3.780 2.703
-2.782 1.661 0.065
-7.091 2.103 1.726
-6.395 -0.022 4.098
-2.579 -0.732 -2.347
-5.837 0.048 9.103
0.000 0.000 0.000
-0.761 2.323 -2.593
-3.827 -1.503 4.674
```


2.
A plane-wave DFT calculation with PBE was carried out for a geometry-optimized TiTl2SnBi structure.

## Properties
**Energy relative to the elements**: 0.37 eV/atom
**Calculated volume**: 32.05 Å³/atom
**DFT total energy**: -3.737 eV/atom

The structure in POSCAR format:
```
TiTl2SnBi
1.0
5.456 0.000 0.000
0.000 5.383 0.000
0.000 0.000 5.456
Tl Ti Sn Bi
2 1 1 1
Cartesian
0.000 0.000 2.728
2.728 0.000 0.000
0.000 0.000 0.000
2.728 2.692 2.728
0.000 2.692 0.000
```


3.
A plane-wave DFT calculation with PBE was carried out for a geometry-optimized KCd2Au2 structure.

## Properties
**Energy relative to the elements**: -0.20 eV/atom
**Calculated volume**: 27.22 Å³/atom
**DFT total energy**: -2.101 eV/atom
**Excess energy over the best structure of this formula in the dataset**: 48 meV per atom

The structure in POSCAR format:
```
KCd2Au2
1.0
5.082 0.000 0.000
0.000 5.082 0.000
2.541 2.541 5.268
Cd Au K
2 2 1
Cartesian
2.541 2.541 1.424
5.082 5.082 3.844
5.082 2.541 2.634
2.541 5.082 2.634
0.000 0.000 0.000
```


4.
A plane-wave DFT calculation with PBE was carried out for a geometry-optimized Tb2PRh6 structure.

## Properties
**Energy relative to the elements**: -0.84 eV/atom
**Calculated volume**: 16.63 Å³/atom
**DFT total energy**: -7.373 eV/atom

The structure in POSCAR format:
```
Tb2PRh6
1.0
5.162 0.003 2.979
1.719 4.867 2.979
0.002 0.001 5.959
Rh Tb P
6 2 1
Cartesian
1.610 1.139 5.958
4.357 1.140 4.372
4.358 1.141 7.545
2.524 3.730 4.372
2.525 3.731 7.545
5.273 3.732 5.960
1.720 1.218 2.979
5.162 3.653 8.939
3.441 2.435 5.959
```


5.
A plane-wave DFT calculation with PBE was carried out for a geometry-optimized TiZn2Ir2 structure.

## Properties
**Energy relative to the elements**: -0.24 eV/atom
**Calculated volume**: 15.22 Å³/atom
**DFT total energy**: -5.876 eV/atom
**Excess energy over the best structure of this formula in the dataset**: 32 meV per atom

The structure in POSCAR format:
```
TiZn2Ir2
1.0
7.036 0.000 0.000
0.000 7.036 0.000
0.000 0.000 3.074
Zn Ti Ir
4 2 4
Cartesian
4.614 5.941 1.537
2.423 1.095 1.537
5.941 2.423 1.537
1.095 4.614 1.537
0.000 0.000 0.000
3.518 3.518 0.000
2.510 6.028 0.000
4.527 1.009 0.000
6.028 4.527 0.000
1.009 2.510 0.000
```


6.
A plane-wave DFT calculation with PBE was carried out for a geometry-optimized ZnInBr3 structure.

## Properties
**Formation energy without anion corrections**: -0.793 eV per atom
**Calculated volume**: 36.50 Å³/atom
**DFT total energy**: -2.599 eV/atom
**Excess energy over the best structure of this formula in the dataset**: 0 meV per atom

The structure in POSCAR format:
```
ZnInBr3
1.0
-2.305 4.992 3.725
-1.787 -3.744 5.580
6.489 -0.668 5.572
Br Zn In
6 2 2
Cartesian
3.355 2.053 10.598
-2.082 0.113 7.903
0.782 -0.825 11.538
1.988 -0.828 7.682
1.742 -0.169 3.692
3.796 -3.033 10.447
2.625 0.613 12.383
1.601 -2.209 9.614
0.425 2.054 8.888
-1.300 0.800 2.878
```